# HoSn2Pb | the Alexandria database | PBE | optimized geometry
data_HoSn2Pb
_chemical_formula_sum 'Ho1 Sn2 Pb1'
_symmetry_space_group_name_H-M 'P 4/m m m'
_symmetry_Int_Tables_number 123
_symmetry_space_group_name_Hall '-P 4 2'
_cell_length_a 4.148
_cell_length_b 4.148
_cell_length_c 6.454
_cell_angle_alpha 90.00
_cell_angle_beta 90.00
_cell_angle_gamma 90.00
loop_
_atom_site_label
_atom_site_type_symbol
_atom_site_fract_x
_atom_site_fract_y
_atom_site_fract_z
Ho1 Ho 0.000 0.000 0.000
Sn1 Sn 0.500 0.500 0.237
Pb1 Pb 0.000 0.000 0.500
# Relative energy among the computed polymorphs   46 meV per atom
# Total moment   0.00 μB/cell
# E   -4.38 eV per atom
# Calculated formation energy   -0.303 eV/atom

---

# HoGePt2 | the Alexandria database | PBE | optimized geometry
data_HoGePt2
_chemical_formula_sum 'Ho1 Ge1 Pt2'
_symmetry_space_group_name_H-M 'P m m m'
_symmetry_Int_Tables_number 47
_cell_length_a 3.609
_cell_length_b 4.063
_cell_length_c 5.550
_cell_angle_alpha 90.00
_cell_angle_beta 90.00
_cell_angle_gamma 90.00
loop_
_symmetry_equiv_pos_as_xyz
'x,y,z'
'-x,-y,-z'
'-x,-y,z'
'x,y,-z'
'x,-y,-z'
'-x,y,z'
'-x,y,-z'
'x,-y,z'
loop_
_atom_site_label
_atom_site_type_symbol
_atom_site_fract_x
_atom_site_fract_y
_atom_site_fract_z
Ho1 Ho 0.000 0.000 0.000
Ge1 Ge 0.500 0.000 0.500
Pt1 Pt 0.500 0.500 0.243
# Total moment   0.00 μB/cell
# E   -6.20 eV per atom
# Calculated formation energy   -0.880 eV/atom

---

# V2Pd5Pt5 | the Alexandria database | PBE | optimized geometry
data_V2Pd5Pt5
_chemical_formula_sum 'V4 Pd10 Pt10'
_symmetry_space_group_name_H-M 'C 1 2/m 1'
_symmetry_Int_Tables_number 12
_cell_length_a 11.732
_cell_length_b 3.885
_cell_length_c 8.815
_cell_angle_alpha 90.00
_cell_angle_beta 116.12
_cell_angle_gamma 90.00
loop_
_symmetry_equiv_pos_as_xyz
'x,y,z'
'-x,-y,-z'
'-x,y,-z'
'x,-y,z'
'x+1/2,y+1/2,z'
'-x+1/2,-y+1/2,-z'
'-x+1/2,y+1/2,-z'
'x+1/2,-y+1/2,z'
loop_
_atom_site_label
_atom_site_type_symbol
_atom_site_fract_x
_atom_site_fract_y
_atom_site_fract_z
V1 V 0.086 0.000 0.258
Pd1 Pd 0.000 0.000 0.500
Pd2 Pd 0.164 0.000 0.001
Pd3 Pd 0.244 0.500 0.247
Pt1 Pt 0.000 0.500 0.000
Pt2 Pt 0.074 0.500 0.751
Pt3 Pt 0.168 0.500 0.500
# Relative energy among the computed polymorphs   0 meV per atom
# Total moment   0.00 μB/cell
# E   -6.52 eV per atom
# Calculated formation energy   -0.321 eV/atom

---

# AcPm3Er3 | the Alexandria database | PBE | optimized geometry
data_AcPm3Er3
_chemical_formula_sum 'Ac2 Pm6 Er6'
_symmetry_space_group_name_H-M 'P 63/m'
_symmetry_Int_Tables_number 176
_symmetry_space_group_name_Hall '-P 6c'
_cell_length_a 9.7431
_cell_length_b 9.7431
_cell_length_c 5.8379
_cell_angle_alpha 90.00
_cell_angle_beta 90.00
_cell_angle_gamma 120.00
loop_
_atom_site_label
_atom_site_type_symbol
_atom_site_fract_x
_atom_site_fract_y
_atom_site_fract_z
Ac1 Ac 0.3333 0.6667 0.2500
Pm1 Pm 0.0943 0.6241 0.7500
Er1 Er 0.0428 0.8143 0.2500
# Relative energy among the computed polymorphs   0 meV per atom
# Total moment   0.00 μB/cell
# E   -4.54 eV per atom
# Calculated formation energy   0.040 eV/atom

---

# ZnAgSb | the Alexandria database | PBE | optimized geometry
data_ZnAgSb
_chemical_formula_sum 'Zn1 Ag1 Sb1'
_symmetry_space_group_name_H-M 'P 3 m 1'
_symmetry_Int_Tables_number 156
_cell_length_a 4.2959
_cell_length_b 4.2959
_cell_length_c 4.0602
_cell_angle_alpha 90.00
_cell_angle_beta 90.00
_cell_angle_gamma 120.00
loop_
_symmetry_equiv_pos_as_xyz
'x,y,z'
'-y,x-y,z'
'-x+y,-x,z'
'-y,-x,z'
'-x+y,y,z'
'x,x-y,z'
loop_
_atom_site_label
_atom_site_type_symbol
_atom_site_fract_x
_atom_site_fract_y
_atom_site_fract_z
Zn1 Zn 0.0000 0.0000 0.0000
Ag1 Ag 0.6667 0.3333 0.2689
Sb1 Sb 0.3333 0.6667 0.6667
# Total moment   0.00 μB/cell
# E   -2.59 eV per atom

---

# YBe3Ag | the Alexandria database | PBE | optimized geometry
data_YBe3Ag
_chemical_formula_sum 'Y1 Be3 Ag1'
_symmetry_space_group_name_H-M 'P m -3 m'
_symmetry_Int_Tables_number 221
_symmetry_space_group_name_Hall '-P 4 2 3'
_cell_length_a 5.063
_cell_length_b 5.063
_cell_length_c 5.063
_cell_angle_alpha 90.00
_cell_angle_beta 90.00
_cell_angle_gamma 90.00
loop_
_atom_site_label
_atom_site_type_symbol
_atom_site_fract_x
_atom_site_fract_y
_atom_site_fract_z
Y1 Y 0.000 0.000 0.000
Be1 Be 0.000 0.000 0.500
Ag1 Ag 0.500 0.500 0.500
# Relative energy among the computed polymorphs   1591 meV per atom
# Total moment   0.00 μB/cell
# E   -2.17 eV per atom
# Calculated formation energy   1.929 eV/atom

---

# PmAs3Pd3 | the Alexandria database | PBE | optimized geometry
data_PmAs3Pd3
_chemical_formula_sum 'Pm2 As6 Pd6'
_symmetry_space_group_name_H-M 'P m -3 n'
_symmetry_Int_Tables_number 223
_symmetry_space_group_name_Hall '-P 4n 2 3'
_cell_length_a 6.828
_cell_length_b 6.828
_cell_length_c 6.828
_cell_angle_alpha 90.00
_cell_angle_beta 90.00
_cell_angle_gamma 90.00
loop_
_atom_site_label
_atom_site_type_symbol
_atom_site_fract_x
_atom_site_fract_y
_atom_site_fract_z
Pm1 Pm 0.000 0.000 0.000
As1 As 0.000 0.250 0.500
Pd1 Pd 0.000 0.500 0.250
# Total moment   0.00 μB/cell
# E   -5.23 eV per atom
# Calculated formation energy   -0.334 eV/atom

---

# SrIr4Rh | the Alexandria database | PBE | optimized geometry
data_SrIr4Rh
_chemical_formula_sum 'Sr4 Ir16 Rh4'
_symmetry_space_group_name_H-M 'F -4 3 m'
_symmetry_Int_Tables_number 216
_symmetry_space_group_name_Hall 'F -4 2 3'
_cell_length_a 7.527
_cell_length_b 7.527
_cell_length_c 7.527
_cell_angle_alpha 90.00
_cell_angle_beta 90.00
_cell_angle_gamma 90.00
loop_
_atom_site_label
_atom_site_type_symbol
_atom_site_fract_x
_atom_site_fract_y
_atom_site_fract_z
Sr1 Sr 0.000 0.000 0.000
Ir1 Ir 0.125 0.125 0.625
Rh1 Rh 0.250 0.250 0.250
# Total moment   15.26 μB/cell
# E   -7.15 eV per atom
# Calculated formation energy   0.264 eV/atom

---

What is the total moment in the sixth record? 0.00 μB/cell